A plane-wave DFT calculation with GGA-PBE was carried out for a relaxed structure of TmTlAuSe3.

Output
Relative energy among the computed polymorphs: 0.008 eV/atom

a b c (Å): 8.3259 3.9936 10.3247
angles (deg): 90.00 109.72 90.00
Sites, in units of the cell vectors:
1 Tm 0.1910 0.2500 0.1518
2 Tm 0.8090 0.7500 0.8482
3 Tl 0.2406 0.7500 0.7158
4 Tl 0.7594 0.2500 0.2842
5 Au 0.4029 0.7500 0.3909
6 Au 0.5971 0.2500 0.6091
7 Se 0.0570 0.2500 0.8641
8 Se 0.2357 0.2500 0.4454
9 Se 0.4329 0.7500 0.1494
10 Se 0.5671 0.2500 0.8506
11 Se 0.7643 0.7500 0.5546
12 Se 0.9430 0.7500 0.1359